Here is a relaxed structure of K6Hg3F14 from the Alexandria database. Energies are from GGA-PBE.

Unit cell a=6.253 b=9.382 c=9.382 alpha=120.00 beta=90.00 gamma=90.00
Each line ends with the local moment (μB).
Sites, in units of the cell vectors:
K (0.267, 0.781, 0.045)  0.00
K (0.267, 0.955, 0.736)  0.00
K (0.267, 0.264, 0.219)  0.00
K (0.796, 0.539, 0.577)  0.00
K (0.796, 0.423, 0.962)  0.00
K (0.796, 0.038, 0.461)  0.00
Hg (0.802, 0.000, 0.000)  0.03
Hg (0.339, 0.333, 0.667)  0.05
Hg (0.417, 0.667, 0.333)  0.44
F (0.003, 0.042, 0.216)  0.05
F (0.003, 0.784, 0.826)  0.05
F (0.003, 0.174, 0.958)  0.05
F (0.536, 0.258, 0.442)  0.07
F (0.536, 0.558, 0.817)  0.07
F (0.536, 0.183, 0.742)  0.07
F (0.462, 0.000, 0.000)  0.01
F (0.997, 0.333, 0.667)  0.02
F (0.619, 0.749, 0.204)  0.21
F (0.619, 0.796, 0.545)  0.21
F (0.619, 0.455, 0.251)  0.21
F (0.221, 0.586, 0.467)  0.21
F (0.221, 0.533, 0.119)  0.21
F (0.221, 0.881, 0.414)  0.21

Properties
**E_tot**: -3.501 eV/atom
**Magnetic moment**: 0.10 μB/atom
**Uncorrected formation energy**: -2.036 eV/atom
**Symmetry**: P3, No. 143


Here is a relaxed structure of KHgF3 from the Alexandria database. Energies are from GGA-PBE.

Unit cell a=3.692 b=6.818 c=7.467 alpha=90.00 beta=90.42 gamma=90.00
Sites, in units of the cell vectors:
K (0.752, 0.250, 0.650)
K (0.248, 0.750, 0.350)
Hg (0.743, 0.250, 0.160)
Hg (0.257, 0.750, 0.840)
F (0.255, 0.448, 0.844)
F (0.745, 0.552, 0.156)
F (0.255, 0.052, 0.844)
F (0.745, 0.948, 0.156)
F (0.247, 0.250, 0.387)
F (0.753, 0.750, 0.613)

Properties
**E_tot**: -3.346 eV/atom
**Magnetic moment**: 0.00 μB/atom
**Uncorrected formation energy**: -1.943 eV/atom
**Symmetry**: P2_1/m, No. 11